(1)
! DyZnAg4, optimized geometry, DFT GGA-PBE; values from VASP
&SYSTEM
  ibrav = 0, nat = 6, ntyp = 3
/
ATOMIC_SPECIES
Dy 162.50 Dy.upf
Zn 65.41 Zn.upf
Ag 107.87 Ag.upf
ATOMIC_POSITIONS crystal
Dy 0.000 0.000 0.000
Zn 0.750 0.750 0.750
Ag 0.375 0.375 0.375
Ag 0.375 0.375 0.874
Ag 0.375 0.874 0.375
Ag 0.874 0.375 0.375
CELL_PARAMETERS angstrom
0.000 3.908 3.908
3.908 0.000 3.908
3.908 3.908 0.000
! V: 19.9 A^3/atom
! calculated density: 9.2 Mg/m³
! raw total energy: -0.109 Ha/atom
! spin magnetization: 0.0 μB per cell

(2)
! Dy2Zn2Ag3, optimized geometry, DFT GGA-PBE; values from VASP
&SYSTEM
  ibrav = 0, nat = 7, ntyp = 3
/
ATOMIC_SPECIES
Dy 162.50 Dy.upf
Zn 65.41 Zn.upf
Ag 107.87 Ag.upf
ATOMIC_POSITIONS crystal
Dy 0.141 0.141 0.270
Dy 0.859 0.859 0.730
Zn 0.400 0.400 0.079
Zn 0.600 0.600 0.921
Ag 0.162 0.162 0.743
Ag 0.500 0.500 0.500
Ag 0.838 0.838 0.257
CELL_PARAMETERS angstrom
4.979 -2.259 0.000
4.979 2.259 0.000
-2.201 0.000 6.427
! V: 20.7 A^3/atom
! calculated density: 9.0 Mg/m³
! relative energy among the computed polymorphs: 0 meV per atom
! spin magnetization: 0.0 μB per cell

(3)
! DyZn6Ag6, optimized geometry, DFT GGA-PBE; values from VASP
&SYSTEM
  ibrav = 0, nat = 13, ntyp = 3
/
ATOMIC_SPECIES
Dy 162.50 Dy.upf
Zn 65.41 Zn.upf
Ag 107.87 Ag.upf
ATOMIC_POSITIONS crystal
Dy 0.000 0.000 0.000
Zn 0.000 0.000 0.500
Zn 0.000 0.500 0.000
Zn 0.227 0.727 0.500
Zn 0.500 0.000 0.000
Zn 0.500 0.500 0.500
Zn 0.773 0.273 0.500
Ag 0.195 0.500 0.695
Ag 0.345 0.345 0.000
Ag 0.347 0.000 0.347
Ag 0.653 0.000 0.653
Ag 0.655 0.655 0.000
Ag 0.805 0.500 0.305
CELL_PARAMETERS angstrom
-2.601 4.621 4.644
2.601 -4.621 4.644
2.601 4.621 -4.644
! V: 17.2 A^3/atom
! calculated density: 8.9 Mg/m³
! raw total energy: -0.089 Ha/atom
! spin magnetization: 0.0 μB per cell

(4)
! DyZnAg2, optimized geometry, DFT GGA-PBE; values from VASP
&SYSTEM
  ibrav = 0, nat = 8, ntyp = 3
/
ATOMIC_SPECIES
Dy 162.50 Dy.upf
Zn 65.41 Zn.upf
Ag 107.87 Ag.upf
ATOMIC_POSITIONS crystal
Dy 0.098 0.902 0.750
Dy 0.902 0.098 0.250
Zn 0.335 0.665 0.750
Zn 0.665 0.335 0.250
Ag 0.269 0.731 0.250
Ag 0.464 0.536 0.750
Ag 0.536 0.464 0.250
Ag 0.731 0.269 0.750
CELL_PARAMETERS angstrom
1.725 -10.208 0.000
1.725 10.208 0.000
0.000 0.000 4.651
! V: 20.5 A^3/atom
! calculated density: 9.0 Mg/m³
! raw total energy: -0.115 Ha/atom
! spin magnetization: 0.0 μB per cell

(5)
! Dy3Zn3Ag, optimized geometry, DFT GGA-PBE; values from VASP
&SYSTEM
  ibrav = 0, nat = 7, ntyp = 3
/
ATOMIC_SPECIES
Dy 162.50 Dy.upf
Zn 65.41 Zn.upf
Ag 107.87 Ag.upf
ATOMIC_POSITIONS crystal
Dy 0.000 0.000 0.000
Dy 0.390 0.390 0.000
Dy 0.692 0.192 0.500
Zn 0.125 0.625 0.500
Zn 0.554 0.554 0.000
Zn 0.837 0.837 0.000
Ag 0.260 0.760 0.500
CELL_PARAMETERS angstrom
-1.781 2.254 9.767
1.781 -2.254 9.767
1.781 2.254 -9.767
! V: 22.4 A^3/atom
! calculated density: 8.4 Mg/m³
! raw total energy: -0.118 Ha/atom
! spin magnetization: 0.0 μB per cell

(6)
! DyZn4Ag, optimized geometry, DFT GGA-PBE; values from VASP
&SYSTEM
  ibrav = 0, nat = 6, ntyp = 3
/
ATOMIC_SPECIES
Dy 162.50 Dy.upf
Zn 65.41 Zn.upf
Ag 107.87 Ag.upf
ATOMIC_POSITIONS crystal
Dy 0.000 0.000 0.000
Zn 0.375 0.375 0.375
Zn 0.375 0.375 0.876
Zn 0.375 0.876 0.375
Zn 0.876 0.375 0.375
Ag 0.750 0.750 0.750
CELL_PARAMETERS angstrom
0.000 3.753 3.753
3.753 0.000 3.753
3.753 3.753 0.000
! V: 17.6 A^3/atom
! calculated density: 8.4 Mg/m³
! relative energy among the computed polymorphs: 8 meV per atom
! spin magnetization: 0.0 μB per cell